# 1
GaRuI2N: relaxed, PBE.

a = 5.7018 Å, b = 5.7018 Å, c = 3.7908 Å
α = 90.00°, β = 90.00°, γ = 90.00°
Closest atoms and distances in Å follow each position.
Space group P4/mmm (No. 123)
Symmetry-distinct sites (fractional):
Ga: 0.0000 0.0000 0.0000 [1 per cell]  8 I 3.42, 2 Ga 3.79
Ru: 0.5000 0.5000 0.5000 [1 per cell]  2 N 1.90
I: 0.0000 0.5000 0.5000 [2 per cell]  2 Ru 2.85
N: 0.5000 0.5000 0.0000 [1 per cell]  2 Ru 1.90

Values from the calculation:
* E_form (uncorrected): 0.24 eV/atom

---

# 2
Nd2GdCd: relaxed, PBE.

a = 7.8770 Å, b = 7.8770 Å, c = 7.8770 Å
α = 90.00°, β = 90.00°, γ = 90.00°
Closest atoms and distances in Å follow each position.
Space group Fm-3m (No. 225)
Symmetry-distinct sites (fractional):
Nd: 0.2500 0.2500 0.2500 [8 per cell]  4 Cd 3.41, 4 Gd 3.41
Gd: 0.0000 0.0000 0.0000 [4 per cell]  8 Nd 3.41
Cd: 0.0000 0.0000 0.5000 [4 per cell]  8 Nd 3.41

Values from the calculation:
* formation energy: -52.4 meV/atom

---

| no. | energy above the most stable polymorph in this dataset (eV per atom) | calculated total energy (eV per atom) |
| --- | --- | --- |
| 1 | 0.000 | -4.51 |
| 2 | 0.089 | -6.19 |